Entry 1:
Here is a relaxed CeZnFe crystal from the Alexandria database. Energies are from PBE.

Cell lengths 4.264, 4.426, 6.529 Å; angles 90.00, 102.95, 90.00 degrees
Fractional coordinates of all 6 atoms:
Ce1 0.247 0.750 0.695
Ce2 0.753 0.250 0.305
Zn1 0.799 0.250 0.818
Zn2 0.201 0.750 0.182
Fe1 0.375 0.250 0.036
Fe2 0.625 0.750 0.964

Summary:
- E_tot: -5.36 eV per atom

=====

Entry 2:
Here is a relaxed CeZrFe4 crystal from the Alexandria database. Energies are from PBE.

Cell lengths 5.059, 5.059, 5.059 Å; angles 60.00, 60.00, 60.00 degrees
Fractional coordinates of all 6 atoms:
Fe1 0.625 0.124 0.625
Fe2 0.625 0.625 0.124
Fe3 0.124 0.625 0.625
Fe4 0.625 0.625 0.625
Ce1 0.250 0.250 0.250
Zr1 0.000 0.000 0.000

Summary:
- E_tot: -8.15 eV per atom

=====

Entry 3:
Here is a relaxed Ce2ZrFe crystal from the Alexandria database. Energies are from PBE.

Cell lengths 3.091, 3.091, 10.647 Å; angles 81.65, 81.65, 60.00 degrees
Fractional coordinates of all 4 atoms:
Fe1 0.500 0.500 0.500
Zr1 0.000 0.000 0.000
Ce1 0.097 0.097 0.709
Ce2 0.903 0.903 0.291

Summary:
- E_tot: -6.84 eV per atom

=====

Entry 4:
Here is a relaxed CeZrFe10 crystal from the Alexandria database. Energies are from PBE.

Cell lengths 3.985, 4.924, 8.526 Å; angles 90.00, 90.00, 90.00 degrees
Fractional coordinates of all 12 atoms:
Fe1 0.500 0.500 0.000
Fe2 0.500 0.254 0.743
Fe3 0.000 0.000 0.337
Fe4 0.500 0.746 0.257
Fe5 0.500 0.254 0.257
Fe6 0.000 0.500 0.829
Fe7 0.000 0.000 0.663
Fe8 0.000 0.500 0.171
Fe9 0.500 0.000 0.500
Fe10 0.500 0.746 0.743
Ce1 0.000 0.000 0.000
Zr1 0.000 0.500 0.500

Summary:
- E_tot: -8.30 eV per atom

=====

Entry 5:
Here is a relaxed CeZr2Fe crystal from the Alexandria database. Energies are from PBE.

Cell lengths 3.209, 3.209, 8.078 Å; angles 90.00, 90.00, 90.00 degrees
Fractional coordinates of all 4 atoms:
Zr1 0.000 0.000 0.191
Zr2 0.000 0.000 0.809
Ce1 0.500 0.500 0.500
Fe1 0.500 0.500 0.000

Summary:
- Relative energy among the computed polymorphs: 72 meV/atom

=====

Entry 6:
Here is a relaxed CeZr2Fe crystal from the Alexandria database. Energies are from PBE.

Cell lengths 4.121, 4.121, 6.681 Å; angles 72.03, 72.03, 60.00 degrees
Fractional coordinates of all 4 atoms:
Zr1 0.054 0.054 0.839
Zr2 0.280 0.280 0.160
Ce1 0.493 0.493 0.521
Fe1 0.673 0.673 0.980

Summary:
- Relative energy among the computed polymorphs: 277 meV/atom

=====

Entry 7:
Here is a relaxed CeZr2Fe9 crystal from the Alexandria database. Energies are from PBE.

Cell lengths 4.991, 4.991, 8.556 Å; angles 73.04, 73.04, 60.00 degrees
Fractional coordinates of all 12 atoms:
Fe1 0.586 0.586 0.745
Fe2 0.414 0.917 0.255
Fe3 0.500 0.500 0.500
Fe4 0.414 0.414 0.255
Fe5 0.667 0.667 0.998
Fe6 0.917 0.414 0.255
Fe7 0.586 0.083 0.745
Fe8 0.083 0.586 0.745
Fe9 0.333 0.333 0.002
Ce1 0.000 0.000 0.000
Zr1 0.143 0.143 0.572
Zr2 0.857 0.857 0.428

Summary:
- E_tot: -8.43 eV per atom

=====

Entry 8:
Here is a relaxed Ce2ZrFe9 crystal from the Alexandria database. Energies are from PBE.

Cell lengths 4.948, 4.948, 8.767 Å; angles 73.61, 73.61, 60.00 degrees
Fractional coordinates of all 12 atoms:
Fe1 0.667 0.667 0.998
Fe2 0.500 0.500 0.500
Fe3 0.421 0.919 0.240
Fe4 0.579 0.081 0.760
Fe5 0.919 0.421 0.240
Fe6 0.333 0.333 0.002
Fe7 0.579 0.579 0.760
Fe8 0.421 0.421 0.240
Fe9 0.081 0.579 0.760
Ce1 0.857 0.857 0.430
Ce2 0.143 0.143 0.570
Zr1 0.000 0.000 0.000

Summary:
- E_tot: -8.12 eV per atom

=====

Entry 9:
Here is a relaxed CeZr2Fe crystal from the Alexandria database. Energies are from PBE.

Cell lengths 5.889, 6.432, 9.056 Å; angles 90.00, 90.00, 90.00 degrees
Fractional coordinates of all 16 atoms:
Ce1 0.636 0.556 0.250
Ce2 0.864 0.056 0.250
Ce3 0.364 0.444 0.750
Ce4 0.136 0.944 0.750
Zr1 0.163 0.670 0.438
Zr2 0.163 0.670 0.062
Zr3 0.337 0.170 0.438
Zr4 0.837 0.330 0.938
Zr5 0.663 0.830 0.562
Zr6 0.663 0.830 0.938
Zr7 0.337 0.170 0.062
Zr8 0.837 0.330 0.562
Fe1 0.955 0.637 0.750
Fe2 0.045 0.363 0.250
Fe3 0.455 0.863 0.250
Fe4 0.545 0.137 0.750

Summary:
- Relative energy among the computed polymorphs: 0 meV/atom

=====

Entry 10:
Here is a relaxed CeZr2Fe crystal from the Alexandria database. Energies are from PBE.

Cell lengths 3.122, 3.122, 10.164 Å; angles 81.17, 81.17, 60.00 degrees
Fractional coordinates of all 4 atoms:
Zr1 0.102 0.102 0.694
Zr2 0.898 0.898 0.306
Fe1 0.500 0.500 0.500
Ce1 0.000 0.000 0.000

Summary:
- Relative energy among the computed polymorphs: 328 meV/atom

=====

| no. | magnetization (μB/f.u.) | DOS at the Fermi energy (states/eV per cell) |
| --- | --- | --- |
| 1 | 0.0 | 5.8 |
| 2 | 6.0 | 8.4 |
| 3 | 1.0 | 8.7 |
| 4 | 19.0 | 12.2 |
| 5 | 0.9 | 6.3 |
| 6 | 0.7 | 8.5 |
| 7 | 16.1 | 10.7 |
| 8 | 15.5 | 14.9 |
| 9 | 0.0 | 27.2 |
| 10 | 0.8 | 5.6 |